The following is a DFT calculation (PBE) of La2RePb after structural relaxation.

Crystal system ... orthorhombic
ρ ... 10070 kg/m3
Energy of formation ... 15.0 kJ per mole of atoms
Raw total energy ... -50.78 eV/cell
M_tot ... 0.00 μB per formula unit

Cell: 4.393 5.515 9.136 Å, 90.00 90.00 90.00°
Space group Immm (No. 71)
Asymmetric unit:
1 La 0.000 0.000 0.206 [4 per cell]
2 Re 0.000 0.500 0.500 [2 per cell]
3 Pb 0.000 0.500 0.000 [2 per cell]


The following is a DFT calculation (PBE) of La8Pm2Mg after structural relaxation.

Crystal system ... monoclinic
ρ ... 6100 kg/m3
Relative energy among the computed polymorphs ... 0 meV per atom
Energy of formation ... 0.4 kJ per mole of atoms
Raw total energy ... -100.95 eV/cell
M_tot ... 0.00 μB per formula unit

Cell: 18.731 5.209 8.247 Å, 90.00 105.31 90.00°
Space group C2/m (No. 12)
Asymmetric unit:
1 La 0.046 0.000 0.225 [4 per cell]
2 La 0.091 0.500 0.951 [4 per cell]
3 La 0.137 0.000 0.682 [4 per cell]
4 La 0.178 0.500 0.411 [4 per cell]
5 Pm 0.227 0.000 0.137 [4 per cell]
6 Mg 0.000 0.500 0.500 [2 per cell]


The following is a DFT calculation (PBE) of Ca3TaRe after structural relaxation.

Crystal system ... cubic
ρ ... 5268 kg/m3
Relative energy among the computed polymorphs ... 0 meV per atom
Energy of formation ... 164.8 kJ per mole of atoms
Raw total energy ... -21.76 eV/cell
M_tot ... 0.00 μB per formula unit

Cell: 5.356 5.356 5.356 Å, 90.00 90.00 90.00°
Space group Pm-3m (No. 221)
Asymmetric unit:
1 Ca 0.000 0.000 0.500 [3 per cell]
2 Ta 0.500 0.500 0.500 [1 per cell]
3 Re 0.000 0.000 0.000 [1 per cell]